No. 1
# GGA-PBE Er3Zn2Rh3, optimized geometry
data_Er3Zn2Rh3
_cell_length_a 8.039
_cell_length_b 8.039
_cell_length_c 5.533
_cell_angle_alpha 90.00
_cell_angle_beta 90.00
_cell_angle_gamma 120.00
_space_group_name_H-M_alt 'P 1'
_space_group_IT_number 1
_space_group_name_Hall 'P 1'
loop_
_atom_site_label
_atom_site_fract_x
_atom_site_fract_y
_atom_site_fract_z
Er1 0.000 0.274 0.250
Er2 0.000 0.726 0.750
Er3 0.274 0.000 0.250
Er4 0.274 0.274 0.750
Er5 0.726 0.000 0.750
Er6 0.726 0.726 0.250
Zn1 0.333 0.667 0.000
Zn2 0.333 0.667 0.500
Zn3 0.667 0.333 0.000
Zn4 0.667 0.333 0.500
Rh1 0.000 0.391 0.750
Rh2 0.000 0.609 0.250
Rh3 0.391 0.000 0.750
Rh4 0.391 0.391 0.250
Rh5 0.609 0.000 0.250
Rh6 0.609 0.609 0.750
# Space-group type: P6_3/mcm
# Calculated formation energy (eV/f.u.): -5.36
# E (eV/atom): -5.46
# Total magnetization (μB/f.u.): 0.000

No. 2
# GGA-PBE CrBMo3, optimized geometry
data_CrBMo3
_cell_length_a 4.155
_cell_length_b 4.155
_cell_length_c 4.155
_cell_angle_alpha 90.00
_cell_angle_beta 90.00
_cell_angle_gamma 90.00
_space_group_name_H-M_alt 'P 1'
_space_group_IT_number 1
_space_group_name_Hall 'P 1'
loop_
_atom_site_label
_atom_site_fract_x
_atom_site_fract_y
_atom_site_fract_z
Cr1 0.000 0.000 0.000
B1 0.500 0.500 0.500
Mo1 0.000 0.500 0.500
Mo2 0.500 0.000 0.500
Mo3 0.500 0.500 0.000
# Space-group type: Pm-3m
# Calculated formation energy (eV/f.u.): 2.16
# E (eV/atom): -9.33
# Total magnetization (μB/f.u.): 0.000
# Offset from the most stable computed form (meV/atom): 0

No. 3
# GGA-PBE TbCeF2, optimized geometry
data_TbCeF2
_cell_length_a 8.203
_cell_length_b 8.203
_cell_length_c 8.203
_cell_angle_alpha 24.55
_cell_angle_beta 24.55
_cell_angle_gamma 24.55
_space_group_name_H-M_alt 'P 1'
_space_group_IT_number 1
_space_group_name_Hall 'P 1'
loop_
_atom_site_label
_atom_site_fract_x
_atom_site_fract_y
_atom_site_fract_z
Tb1 0.000 0.000 0.000
Ce1 0.500 0.500 0.500
F1 0.093 0.093 0.093
F2 0.907 0.907 0.907
# Space-group type: R-3m
# E_form (uncorrected) (eV/atom): -2.304
# E (eV/atom): -5.88
# Total magnetization (μB/f.u.): 1.254

No. 4
# GGA-PBE ZnCr2Fe, optimized geometry
data_ZnCr2Fe
_cell_length_a 5.218
_cell_length_b 5.218
_cell_length_c 5.218
_cell_angle_alpha 102.52
_cell_angle_beta 102.52
_cell_angle_gamma 124.50
_space_group_name_H-M_alt 'P 1'
_space_group_IT_number 1
_space_group_name_Hall 'P 1'
loop_
_atom_site_label
_atom_site_fract_x
_atom_site_fract_y
_atom_site_fract_z
Zn1 0.000 0.000 0.000
Zn2 0.750 0.250 0.500
Cr1 0.172 0.625 0.047
Cr2 0.375 0.422 0.547
Cr3 0.578 0.125 0.953
Cr4 0.875 0.828 0.453
Fe1 0.250 0.750 0.500
Fe2 0.500 0.500 0.000
# Space-group type: I-42d
# Calculated formation energy (eV/f.u.): 2.43
# E (eV/atom): -6.64
# Total magnetization (μB/f.u.): 0.000

No. 5
# GGA-PBE CsZrOF2, optimized geometry
data_CsZrOF2
_cell_length_a 4.604
_cell_length_b 4.604
_cell_length_c 4.174
_cell_angle_alpha 90.00
_cell_angle_beta 90.00
_cell_angle_gamma 90.00
_space_group_name_H-M_alt 'P 1'
_space_group_IT_number 1
_space_group_name_Hall 'P 1'
loop_
_atom_site_label
_atom_site_fract_x
_atom_site_fract_y
_atom_site_fract_z
Cs1 0.000 0.000 0.000
Zr1 0.500 0.500 0.500
O1 0.500 0.500 0.000
F1 0.000 0.500 0.500
F2 0.500 0.000 0.500
# Space-group type: P4/mmm
# E_form (uncorrected) (eV/atom): -2.777
# E (eV/atom): -6.40
# Total magnetization (μB/f.u.): 1.000

No. 6
# GGA-PBE B4PdRh6, optimized geometry
data_B4PdRh6
_cell_length_a 5.581
_cell_length_b 5.581
_cell_length_c 5.503
_cell_angle_alpha 118.67
_cell_angle_beta 118.67
_cell_angle_gamma 84.30
_space_group_name_H-M_alt 'P 1'
_space_group_IT_number 1
_space_group_name_Hall 'P 1'
loop_
_atom_site_label
_atom_site_fract_x
_atom_site_fract_y
_atom_site_fract_z
B1 0.000 0.000 0.000
B2 0.411 0.811 0.721
B3 0.525 0.525 0.291
B4 0.811 0.411 0.721
Pd1 0.189 0.189 0.783
Rh1 0.013 0.659 0.613
Rh2 0.140 0.732 0.202
Rh3 0.326 0.326 0.390
Rh4 0.610 0.610 0.015
Rh5 0.659 0.013 0.613
Rh6 0.732 0.140 0.202
# Space-group type: Cm
# Calculated formation energy (eV/f.u.): -1.52
# E (eV/atom): -7.05
# Total magnetization (μB/f.u.): 0.000

No. 7
# GGA-PBE BiAs2SeS, optimized geometry
data_BiAs2SeS
_cell_length_a 5.560
_cell_length_b 5.560
_cell_length_c 5.316
_cell_angle_alpha 90.00
_cell_angle_beta 90.00
_cell_angle_gamma 90.00
_space_group_name_H-M_alt 'P 1'
_space_group_IT_number 1
_space_group_name_Hall 'P 1'
loop_
_atom_site_label
_atom_site_fract_x
_atom_site_fract_y
_atom_site_fract_z
Bi1 0.000 0.000 0.000
As1 0.000 0.500 0.000
As2 0.500 0.000 0.000
Se1 0.000 0.000 0.500
S1 0.500 0.500 0.500
# Space-group type: P4/mmm
# E_form (uncorrected) (eV/atom): 1.302
# E (eV/atom): -2.86
# Total magnetization (μB/f.u.): 1.787
# Offset from the most stable computed form (meV/atom): 828

No. 8
# GGA-PBE Ce6HC2I3, optimized geometry
data_Ce6HC2I3
_cell_length_a 6.640
_cell_length_b 6.640
_cell_length_c 7.969
_cell_angle_alpha 97.99
_cell_angle_beta 97.99
_cell_angle_gamma 119.99
_space_group_name_H-M_alt 'P 1'
_space_group_IT_number 1
_space_group_name_Hall 'P 1'
loop_
_atom_site_label
_atom_site_fract_x
_atom_site_fract_y
_atom_site_fract_z
Ce1 0.097 0.442 0.825
Ce2 0.214 0.214 0.175
Ce3 0.442 0.097 0.825
Ce4 0.558 0.903 0.175
Ce5 0.786 0.786 0.825
Ce6 0.903 0.558 0.175
H1 0.500 0.500 0.000
C1 0.167 0.833 0.000
C2 0.833 0.167 0.000
I1 0.000 0.000 0.500
I2 0.334 0.666 0.500
I3 0.666 0.334 0.500
# Space-group type: C2/m
# E (eV/atom): -5.75
# Total magnetization (μB/f.u.): 5.650

No. 9
# GGA-PBE Ca2RuC2, optimized geometry
data_Ca2RuC2
_cell_length_a 6.011
_cell_length_b 6.011
_cell_length_c 5.799
_cell_angle_alpha 111.40
_cell_angle_beta 111.40
_cell_angle_gamma 58.66
_space_group_name_H-M_alt 'P 1'
_space_group_IT_number 1
_space_group_name_Hall 'P 1'
loop_
_atom_site_label
_atom_site_fract_x
_atom_site_fract_y
_atom_site_fract_z
Ca1 0.043 0.271 0.236
Ca2 0.271 0.043 0.736
Ca3 0.729 0.957 0.264
Ca4 0.957 0.729 0.764
Ru1 0.444 0.556 0.250
Ru2 0.556 0.444 0.750
C1 0.203 0.626 0.441
C2 0.374 0.797 0.059
C3 0.626 0.203 0.941
C4 0.797 0.374 0.559
# Space-group type: C2/c
# Calculated formation energy (eV/f.u.): 0.97
# E (eV/atom): -6.15
# Total magnetization (μB/f.u.): 0.000

No. 10
# GGA-PBE Cu5PdAu2, optimized geometry
data_Cu5PdAu2
_cell_length_a 5.367
_cell_length_b 5.367
_cell_length_c 5.367
_cell_angle_alpha 118.25
_cell_angle_beta 118.25
_cell_angle_gamma 93.07
_space_group_name_H-M_alt 'P 1'
_space_group_IT_number 1
_space_group_name_Hall 'P 1'
loop_
_atom_site_label
_atom_site_fract_x
_atom_site_fract_y
_atom_site_fract_z
Cu1 0.000 0.000 0.000
Cu2 0.000 0.000 0.500
Cu3 0.000 0.500 0.000
Cu4 0.500 0.000 0.000
Cu5 0.500 0.500 0.500
Pd1 0.500 0.500 0.000
Au1 0.000 0.500 0.500
Au2 0.500 0.000 0.500
# Space-group type: I4/mmm
# Calculated formation energy (eV/f.u.): -0.52
# E (eV/atom): -4.09
# Total magnetization (μB/f.u.): 0.000
# Offset from the most stable computed form (meV/atom): 0

No. 11
# GGA-PBE La2Ce3Sn2, optimized geometry
data_La2Ce3Sn2
_cell_length_a 8.247
_cell_length_b 8.247
_cell_length_c 8.247
_cell_angle_alpha 109.47
_cell_angle_beta 109.47
_cell_angle_gamma 109.47
_space_group_name_H-M_alt 'P 1'
_space_group_IT_number 1
_space_group_name_Hall 'P 1'
loop_
_atom_site_label
_atom_site_fract_x
_atom_site_fract_y
_atom_site_fract_z
La1 0.000 0.851 0.500
La2 0.500 0.000 0.851
La3 0.649 0.649 0.649
La4 0.851 0.500 0.000
Ce1 0.233 0.750 0.983
Ce2 0.250 0.517 0.267
Ce3 0.267 0.250 0.517
Ce4 0.517 0.267 0.250
Ce5 0.750 0.983 0.233
Ce6 0.983 0.233 0.750
Sn1 0.000 0.468 0.500
Sn2 0.032 0.032 0.032
Sn3 0.468 0.500 0.000
Sn4 0.500 0.000 0.468
# Space-group type: I2_13
# Calculated formation energy (eV/f.u.): -1.24
# E (eV/atom): -5.27
# Total magnetization (μB/f.u.): 1.585

No. 12
# GGA-PBE Nd2AsPb, optimized geometry
data_Nd2AsPb
_cell_length_a 8.332
_cell_length_b 8.332
_cell_length_c 8.332
_cell_angle_alpha 29.25
_cell_angle_beta 29.25
_cell_angle_gamma 29.25
_space_group_name_H-M_alt 'P 1'
_space_group_IT_number 1
_space_group_name_Hall 'P 1'
loop_
_atom_site_label
_atom_site_fract_x
_atom_site_fract_y
_atom_site_fract_z
Nd1 0.239 0.239 0.239
Nd2 0.761 0.761 0.761
As1 0.500 0.500 0.500
Pb1 0.000 0.000 0.000
# Space-group type: R-3m
# Calculated formation energy (eV/f.u.): -3.99
# E (eV/atom): -5.47
# Total magnetization (μB/f.u.): 0.000
# Offset from the most stable computed form (meV/atom): 0

No. 13
# GGA-PBE Ni2TeAs, optimized geometry
data_Ni2TeAs
_cell_length_a 3.246
_cell_length_b 3.246
_cell_length_c 6.810
_cell_angle_alpha 90.00
_cell_angle_beta 90.00
_cell_angle_gamma 90.00
_space_group_name_H-M_alt 'P 1'
_space_group_IT_number 1
_space_group_name_Hall 'P 1'
loop_
_atom_site_label
_atom_site_fract_x
_atom_site_fract_y
_atom_site_fract_z
Ni1 0.000 0.000 0.000
Ni2 0.500 0.500 0.200
Te1 0.000 0.000 0.383
As1 0.500 0.500 0.848
# Space-group type: P4mm
# E_form (uncorrected) (eV/atom): -0.074
# E (eV/atom): -4.91
# Total magnetization (μB/f.u.): 0.000

No. 14
# GGA-PBE CsNp2Te4As, optimized geometry
data_CsNp2Te4As
_cell_length_a 10.337
_cell_length_b 10.337
_cell_length_c 13.442
_cell_angle_alpha 90.00
_cell_angle_beta 90.00
_cell_angle_gamma 155.56
_space_group_name_H-M_alt 'P 1'
_space_group_IT_number 1
_space_group_name_Hall 'P 1'
loop_
_atom_site_label
_atom_site_fract_x
_atom_site_fract_y
_atom_site_fract_z
Cs1 0.188 0.812 0.750
Cs2 0.812 0.188 0.250
Np1 0.420 0.580 0.610
Np2 0.420 0.580 0.890
Np3 0.580 0.420 0.110
Np4 0.580 0.420 0.390
Te1 0.000 0.000 0.000
Te2 0.000 0.000 0.500
Te3 0.193 0.807 0.085
Te4 0.193 0.807 0.415
Te5 0.464 0.536 0.250
Te6 0.536 0.464 0.750
Te7 0.807 0.193 0.585
Te8 0.807 0.193 0.915
As1 0.110 0.890 0.250
As2 0.890 0.110 0.750
# Space-group type: Cmcm
# E_form (uncorrected) (eV/atom): -0.559
# E (eV/atom): -6.05
# Total magnetization (μB/f.u.): 7.688

No. 15
# GGA-PBE Zr6TlNi6, optimized geometry
data_Zr6TlNi6
_cell_length_a 7.041
_cell_length_b 7.041
_cell_length_c 7.041
_cell_angle_alpha 136.86
_cell_angle_beta 99.48
_cell_angle_gamma 96.06
_space_group_name_H-M_alt 'P 1'
_space_group_IT_number 1
_space_group_name_Hall 'P 1'
loop_
_atom_site_label
_atom_site_fract_x
_atom_site_fract_y
_atom_site_fract_z
Zr1 0.158 0.500 0.658
Zr2 0.165 0.165 0.000
Zr3 0.323 0.000 0.323
Zr4 0.677 0.000 0.677
Zr5 0.835 0.835 0.000
Zr6 0.842 0.500 0.342
Tl1 0.500 0.500 0.000
Ni1 0.000 0.000 0.500
Ni2 0.000 0.500 0.000
Ni3 0.259 0.759 0.500
Ni4 0.500 0.000 0.000
Ni5 0.500 0.500 0.500
Ni6 0.741 0.241 0.500
# Space-group type: Immm
# Calculated formation energy (eV/f.u.): -3.51
# E (eV/atom): -7.07
# Total magnetization (μB/f.u.): 0.000

No. 16
# GGA-PBE Zr2AlSi, optimized geometry
data_Zr2AlSi
_cell_length_a 5.512
_cell_length_b 5.512
_cell_length_c 5.512
_cell_angle_alpha 138.17
_cell_angle_beta 136.91
_cell_angle_gamma 61.62
_space_group_name_H-M_alt 'P 1'
_space_group_IT_number 1
_space_group_name_Hall 'P 1'
loop_
_atom_site_label
_atom_site_fract_x
_atom_site_fract_y
_atom_site_fract_z
Zr1 0.000 0.000 0.000
Zr2 0.747 0.247 0.500
Al1 0.255 0.755 0.500
Si1 0.494 0.494 0.000
# Space-group type: Imm2
# E_form (uncorrected) (eV/atom): -0.503
# E (eV/atom): -7.07
# Total magnetization (μB/f.u.): 0.000
# Offset from the most stable computed form (meV/atom): 231

No. 17
# GGA-PBE TlFeAs2, optimized geometry
data_TlFeAs2
_cell_length_a 4.081
_cell_length_b 6.164
_cell_length_c 6.164
_cell_angle_alpha 34.34
_cell_angle_beta 90.00
_cell_angle_gamma 90.00
_space_group_name_H-M_alt 'P 1'
_space_group_IT_number 1
_space_group_name_Hall 'P 1'
loop_
_atom_site_label
_atom_site_fract_x
_atom_site_fract_y
_atom_site_fract_z
Tl1 0.000 0.000 0.000
Fe1 0.500 0.378 0.378
As1 0.000 0.264 0.264
As2 0.500 0.742 0.742
# Space-group type: Amm2
# Calculated formation energy (eV/f.u.): 1.12
# E (eV/atom): -4.75
# Total magnetization (μB/f.u.): 2.026
# Offset from the most stable computed form (meV/atom): 244

No. 18
# GGA-PBE Na3Pr3GaS8, optimized geometry
data_Na3Pr3GaS8
_cell_length_a 8.168
_cell_length_b 8.168
_cell_length_c 8.168
_cell_angle_alpha 59.98
_cell_angle_beta 59.98
_cell_angle_gamma 59.98
_space_group_name_H-M_alt 'P 1'
_space_group_IT_number 1
_space_group_name_Hall 'P 1'
loop_
_atom_site_label
_atom_site_fract_x
_atom_site_fract_y
_atom_site_fract_z
Na1 0.000 0.500 0.500
Na2 0.500 0.000 0.500
Na3 0.500 0.500 0.000
Pr1 0.000 0.000 0.500
Pr2 0.000 0.500 0.000
Pr3 0.500 0.000 0.000
Ga1 0.500 0.500 0.500
S1 0.246 0.246 0.246
S2 0.274 0.721 0.721
S3 0.279 0.279 0.726
S4 0.279 0.726 0.279
S5 0.721 0.274 0.721
S6 0.721 0.721 0.274
S7 0.726 0.279 0.279
S8 0.754 0.754 0.754
# Space-group type: R-3m
# E_form (uncorrected) (eV/atom): -1.383
# E (eV/atom): -5.01
# Total magnetization (μB/f.u.): 0.007

No. 19
# GGA-PBE SrMgO2, optimized geometry
data_SrMgO2
_cell_length_a 3.464
_cell_length_b 5.607
_cell_length_c 5.607
_cell_angle_alpha 33.25
_cell_angle_beta 90.00
_cell_angle_gamma 90.00
_space_group_name_H-M_alt 'P 1'
_space_group_IT_number 1
_space_group_name_Hall 'P 1'
loop_
_atom_site_label
_atom_site_fract_x
_atom_site_fract_y
_atom_site_fract_z
Sr1 0.000 0.000 0.000
Mg1 0.500 0.237 0.237
O1 0.000 0.329 0.329
O2 0.500 0.609 0.609
# Space-group type: Amm2
# E_form (uncorrected) (eV/atom): -2.475
# E (eV/atom): -5.77
# Total magnetization (μB/f.u.): 0.000

No. 20
# GGA-PBE NpZn2Sn, optimized geometry
data_NpZn2Sn
_cell_length_a 2.968
_cell_length_b 2.968
_cell_length_c 9.664
_cell_angle_alpha 90.00
_cell_angle_beta 90.00
_cell_angle_gamma 90.00
_space_group_name_H-M_alt 'P 1'
_space_group_IT_number 1
_space_group_name_Hall 'P 1'
loop_
_atom_site_label
_atom_site_fract_x
_atom_site_fract_y
_atom_site_fract_z
Np1 0.000 0.000 0.000
Zn1 0.500 0.500 0.241
Zn2 0.500 0.500 0.759
Sn1 0.000 0.000 0.500
# Space-group type: P4/mmm
# Calculated formation energy (eV/f.u.): 0.75
# E (eV/atom): -4.69
# Total magnetization (μB/f.u.): 4.571
# Offset from the most stable computed form (meV/atom): 140